Here is an optimized crystal structure of CoAgAu from Alexandria via LeMat-Bulk. Energies are from PBE-GGA.

Lattice parameters (Å, degrees): 6.2814 6.2812 2.8180 77.04 77.03 25.93
Site moments in Bohr magnetons follow the coordinates.
Positions (direct):
Ag (0.0093, 0.0093, 0.9907)  -0.01
Au (0.3221, 0.3221, 0.6779)  0.02
Co (0.6686, 0.6686, 0.3314)  1.83

Properties
SG   I4mm (107)
Energy of formation from the pure elements   0.75 eV per formula unit
Density of states at the Fermi level   3.2 states/eV/cell
Mass density   12.770 g/cm³
E above lowest polymorph   0.0 meV/atom